Computed, not measured: a geometry-optimized Mg2Be2Fe structure at the PBE-GGA level of DFT.

CIF file:
```
data_Mg2Be2Fe
_space_group_name_H-M_alt 'P 1'
_space_group_IT_number 1
_cell_length_a 5.8732
_cell_length_b 5.8732
_cell_length_c 4.0377
_cell_angle_alpha 90.00
_cell_angle_beta 90.00
_cell_angle_gamma 90.00
loop_
_space_group_symop_operation_xyz
'x,y,z'
loop_
_atom_site_label
_atom_site_type_symbol
_atom_site_fract_x
_atom_site_fract_y
_atom_site_fract_z
Fe1 Fe 0.5000 0.5000 0.0000
Be1 Be 0.6331 0.1331 0.0000
Be2 Be 0.8669 0.6331 0.0000
Be3 Be 0.3669 0.8669 0.0000
Mg1 Mg 0.6791 0.8209 0.5000
Mg2 Mg 0.8209 0.3209 0.5000
Be4 Be 0.1331 0.3669 0.0000
Mg3 Mg 0.1791 0.6791 0.5000
Fe2 Fe 0.0000 0.0000 0.0000
Mg4 Mg 0.3209 0.1791 0.5000
```

## Properties
Space group   P4/mbm (127)
Formation energy   0.322 eV per atom
Total magnetic moment   1.949 μB/f.u.